No. 1
Entry from Alexandria: a geometry-optimized NbSi2Pt2 structure (PBE-GGA).

```
10
Lattice="-0.968 -6.195 3.438 -0.825 -3.348 -6.265 2.896 -0.512 -0.108" Properties=species:S:1:pos:R:3 pbc="T T T"
Nb 0.000 0.000 0.000
Nb -0.896 -4.772 -1.413
Si -1.039 -5.011 -4.121
Si -1.359 -7.442 -1.153
Si -0.753 -4.532 1.294
Si -0.434 -2.102 -1.674
Pt 0.771 -3.337 -3.603
Pt 0.118 -7.122 -3.170
Pt 0.332 -6.719 0.669
Pt 0.985 -2.934 0.235
```

Computed properties:
Space group ... P4/mbm, No. 127
Calculated volume ... 150.52 Å³/cell
Energy ... -7.09 eV/atom

No. 2
Entry from Alexandria: a geometry-optimized Sm2NbSi4Pt3 structure (PBE-GGA).

```
10
Lattice="4.218 0.000 0.000 0.000 4.218 0.000 0.000 0.000 10.277" Properties=species:S:1:pos:R:3 pbc="T T T"
Sm 2.109 0.000 2.443
Sm 0.000 2.109 7.834
Nb 2.109 2.109 5.138
Si 2.109 2.109 0.000
Si 0.000 0.000 0.000
Si 2.109 0.000 6.620
Si 0.000 2.109 3.657
Pt 0.000 0.000 5.138
Pt 2.109 0.000 9.059
Pt 0.000 2.109 1.218
```

Computed properties:
Space group ... P-4m2, No. 115
Calculated volume ... 182.87 Å³/cell
Energy ... -6.92 eV/atom

No. 3
Entry from Alexandria: a geometry-optimized NbSi2SnPt structure (PBE-GGA).

```
5
Lattice="-3.017 -3.202 2.085 -0.841 -2.104 -4.449 3.732 -3.039 0.732" Properties=species:S:1:pos:R:3 pbc="T T T"
Nb 0.000 0.000 0.000
Si 1.866 -1.520 0.366
Si -1.508 -1.601 1.043
Sn -0.063 -4.173 -0.816
Pt -0.421 -1.052 -2.224
```

Computed properties:
Space group ... P4/mmm, No. 123
Calculated volume ... 118.33 Å³/cell
Energy ... -5.59 eV/atom

No. 4
Entry from Alexandria: a geometry-optimized SrNb2SiPt structure (PBE-GGA).

```
5
Lattice="4.853 0.000 0.000 0.000 4.984 0.000 0.000 0.000 4.853" Properties=species:S:1:pos:R:3 pbc="T T T"
Sr 0.000 0.000 0.000
Nb 0.000 0.000 2.426
Nb 2.426 0.000 0.000
Si 0.000 2.492 0.000
Pt 2.426 2.492 2.426
```

Computed properties:
Space group ... P4/mmm, No. 123
Calculated volume ... 117.37 Å³/cell
Energy ... -4.18 eV/atom